*a*
Material: AcPuSb2
Method: DFT, PBE
State: relaxed

Structure (POSCAR):
```
AcPuSb2
1.0
2.283 1.318 7.797
-2.283 1.318 7.797
0.000 -2.637 7.797
Ac Pu Sb
1 1 2
Direct
0.000 0.000 0.000 Ac
0.829 0.829 0.829 Pu
0.239 0.239 0.239 Sb
0.423 0.423 0.423 Sb
```

Fermi-level density of states	3.6100	states/eV per atom

*b*
Material: AcPuSb2
Method: DFT, PBE
State: relaxed

Structure (POSCAR):
```
AcPuSb2
1.0
4.131 0.000 0.000
0.000 4.131 0.000
0.000 0.000 7.080
Ac Pu Sb
1 1 2
Direct
0.000 0.000 0.000 Ac
0.000 0.000 0.500 Pu
0.500 0.500 0.273 Sb
0.500 0.500 0.727 Sb
```

Fermi-level density of states	2.6137	states/eV per atom

*a* ends up most stable, edging out the next structure by 53 meV per atom.

*a*
Material: AcPuSb2
Method: DFT, PBE
State: relaxed

Structure (POSCAR):
```
AcPuSb2
1.0
4.371 0.000 0.000
0.000 5.774 0.000
0.000 0.000 11.353
Ac Pu Sb
2 2 4
Direct
0.250 0.250 0.135 Ac
0.750 0.750 0.865 Ac
0.250 0.750 0.376 Pu
0.750 0.250 0.624 Pu
0.250 0.250 0.430 Sb
0.250 0.250 0.838 Sb
0.750 0.750 0.162 Sb
0.750 0.750 0.570 Sb
```

Fermi-level density of states	3.7662	states/eV per atom

*b*
Material: AcPuSb2
Method: DFT, PBE
State: relaxed

Structure (POSCAR):
```
AcPuSb2
1.0
2.313 1.336 7.499
-2.313 1.336 7.499
0.000 -2.671 7.499
Ac Pu Sb
1 1 2
Direct
0.000 0.000 0.000 Ac
0.500 0.500 0.500 Pu
0.242 0.242 0.242 Sb
0.758 0.758 0.758 Sb
```

Fermi-level density of states	3.8867	states/eV per atom

*c*
Material: AcPuSb2
Method: DFT, PBE
State: relaxed

Structure (POSCAR):
```
AcPuSb2
1.0
0.000 3.959 3.959
3.959 0.000 3.959
3.959 3.959 0.000
Ac Pu Sb
1 1 2
Direct
0.000 0.000 0.000 Ac
0.500 0.500 0.500 Pu
0.250 0.250 0.250 Sb
0.750 0.750 0.750 Sb
```

Fermi-level density of states	3.8217	states/eV per atom

*d*
Material: AcPuSb2
Method: DFT, PBE
State: relaxed

Structure (POSCAR):
```
AcPuSb2
1.0
5.935 0.000 0.000
0.000 5.935 0.000
0.000 0.000 3.477
Ac Pu Sb
1 1 2
Direct
0.000 0.000 0.000 Ac
0.500 0.500 0.000 Pu
0.000 0.500 0.500 Sb
0.500 0.000 0.500 Sb
```

Fermi-level density of states	3.0938	states/eV per atom

*b* ends up most stable, edging out the next structure by 178 meV per atom.

*a*
Material: AcPuSb
Method: DFT, PBE
State: relaxed

Structure (POSCAR):
```
AcPuSb
1.0
0.000 3.832 3.832
3.832 0.000 3.832
3.832 3.832 0.000
Ac Pu Sb
1 1 1
Direct
0.000 0.000 0.000 Ac
0.500 0.500 0.500 Pu
0.250 0.250 0.250 Sb
```

Fermi-level density of states	4.8630	states/eV per atom

*b*
Material: AcPuSb
Method: DFT, PBE
State: relaxed

Structure (POSCAR):
```
AcPuSb
1.0
2.279 1.316 12.615
-2.279 1.316 12.615
0.000 -2.631 12.615
Ac Pu Sb
2 2 2
Direct
0.123 0.123 0.123 Ac
0.877 0.877 0.877 Ac
0.309 0.309 0.309 Pu
0.691 0.691 0.691 Pu
0.400 0.400 0.400 Sb
0.600 0.600 0.600 Sb
```

Fermi-level density of states	2.7647	states/eV per atom

*b* ends up most stable, edging out the next structure by 62 meV per atom.

*a*
Material: AcPu2Sb
Method: DFT, PBE
State: relaxed

Structure (POSCAR):
```
AcPu2Sb
1.0
0.000 3.874 3.874
3.874 0.000 3.874
3.874 3.874 0.000
Ac Pu Sb
1 2 1
Direct
0.000 0.000 0.000 Ac
0.250 0.250 0.250 Pu
0.750 0.750 0.750 Pu
0.500 0.500 0.500 Sb
```

Fermi-level density of states	3.9031	states/eV per atom

*b*
Material: AcPu2Sb
Method: DFT, PBE
State: relaxed

Structure (POSCAR):
```
AcPu2Sb
1.0
4.828 0.000 0.000
0.000 4.828 0.000
0.000 0.000 5.093
Ac Pu Sb
1 2 1
Direct
0.000 0.000 0.000 Ac
0.000 0.500 0.500 Pu
0.500 0.000 0.500 Pu
0.500 0.500 0.000 Sb
```

Fermi-level density of states	2.9250	states/eV per atom

*c*
Material: AcPu2Sb
Method: DFT, PBE
State: relaxed

Structure (POSCAR):
```
AcPu2Sb
1.0
4.154 0.000 0.000
0.000 4.154 0.000
0.000 0.000 7.039
Ac Pu Sb
1 2 1
Direct
0.000 0.000 0.000 Ac
0.500 0.500 0.293 Pu
0.500 0.500 0.707 Pu
0.000 0.000 0.500 Sb
```

Fermi-level density of states	3.6970	states/eV per atom

*b* ends up most stable, edging out the next structure by 43 meV per atom.

*a*
Material: Ac2PuSb3
Method: DFT, PBE
State: relaxed

Structure (POSCAR):
```
Ac2PuSb3
1.0
-2.348 3.323 7.006
2.348 -3.323 7.006
2.348 3.323 -7.006
Ac Pu Sb
2 1 3
Direct
0.169 0.169 0.000 Ac
0.831 0.831 0.000 Ac
0.500 0.500 0.000 Pu
0.000 0.500 0.500 Sb
0.346 0.846 0.500 Sb
0.654 0.154 0.500 Sb
```

Fermi-level density of states	2.9165	states/eV per atom

*b*
Material: Ac2PuSb3
Method: DFT, PBE
State: relaxed

Structure (POSCAR):
```
Ac2PuSb3
1.0
0.000 6.624 14.054
4.676 0.000 14.054
4.676 6.624 0.000
Ac Pu Sb
8 4 12
Direct
0.043 0.043 0.207 Ac
0.123 0.123 0.627 Ac
0.207 0.207 0.043 Ac
0.373 0.373 0.877 Ac
0.627 0.627 0.123 Ac
0.793 0.793 0.957 Ac
0.877 0.877 0.373 Ac
0.957 0.957 0.793 Ac
0.291 0.291 0.459 Pu
0.459 0.459 0.291 Pu
0.541 0.541 0.709 Pu
0.709 0.709 0.541 Pu
0.038 0.540 0.229 Sb
0.142 0.608 0.608 Sb
0.229 0.694 0.038 Sb
0.306 0.771 0.460 Sb
0.392 0.858 0.858 Sb
0.460 0.962 0.306 Sb
0.540 0.038 0.694 Sb
0.608 0.142 0.142 Sb
0.694 0.229 0.540 Sb
0.771 0.306 0.962 Sb
0.858 0.392 0.392 Sb
0.962 0.460 0.771 Sb
```

Fermi-level density of states	2.7311	states/eV per atom

*b* ends up most stable, edging out the next structure by 12 meV per atom.

*a*
Material: Ac3PuSb4
Method: DFT, PBE
State: relaxed

Structure (POSCAR):
```
Ac3PuSb4
1.0
4.715 -6.670 0.000
4.715 6.670 0.000
0.000 0.000 4.724
Ac Pu Sb
3 1 4
Direct
0.000 0.000 0.000 Ac
0.000 0.500 0.500 Ac
0.500 0.000 0.500 Ac
0.500 0.500 0.000 Pu
0.257 0.743 0.000 Sb
0.264 0.264 0.500 Sb
0.736 0.736 0.500 Sb
0.743 0.257 0.000 Sb
```

Fermi-level density of states	2.1964	states/eV per atom

*b*
Material: Ac3PuSb4
Method: DFT, PBE
State: relaxed

Structure (POSCAR):
```
Ac3PuSb4
1.0
6.693 0.000 0.000
0.000 6.693 0.000
0.000 0.000 6.693
Ac Pu Sb
3 1 4
Direct
0.000 0.000 0.500 Ac
0.000 0.500 0.000 Ac
0.500 0.000 0.000 Ac
0.500 0.500 0.500 Pu
0.000 0.000 0.000 Sb
0.000 0.500 0.500 Sb
0.500 0.000 0.500 Sb
0.500 0.500 0.000 Sb
```

Fermi-level density of states	2.6815	states/eV per atom

*a* ends up most stable, edging out the next structure by 20 meV per atom.

*a*
Material: AcPuSe2
Method: DFT, PBE
State: relaxed

Structure (POSCAR):
```
AcPuSe2
1.0
2.084 1.203 7.642
-2.084 1.203 7.642
0.000 -2.407 7.642
Ac Pu Se
1 1 2
Direct
0.000 0.000 0.000 Ac
0.827 0.827 0.827 Pu
0.239 0.239 0.239 Se
0.422 0.422 0.422 Se
```

Fermi-level density of states	2.0853	states/eV per atom

*b*
Material: AcPuSe2
Method: DFT, PBE
State: relaxed

Structure (POSCAR):
```
AcPuSe2
1.0
2.141 1.236 9.087
-2.141 1.236 9.087
0.000 -2.472 9.087
Ac Pu Se
1 1 2
Direct
0.000 0.000 0.000 Ac
0.500 0.500 0.500 Pu
0.110 0.110 0.110 Se
0.890 0.890 0.890 Se
```

Fermi-level density of states	2.8247	states/eV per atom

*a* ends up most stable, edging out the next structure by 379 meV per atom.

*a*
Material: AcPuSe2
Method: DFT, PBE
State: relaxed

Structure (POSCAR):
```
AcPuSe2
1.0
0.000 3.745 3.745
3.745 0.000 3.745
3.745 3.745 0.000
Ac Pu Se
1 1 2
Direct
0.000 0.000 0.000 Ac
0.500 0.500 0.500 Pu
0.250 0.250 0.250 Se
0.750 0.750 0.750 Se
```

Fermi-level density of states	1.5257	states/eV per atom

*b*
Material: AcPuSe2
Method: DFT, PBE
State: relaxed

Structure (POSCAR):
```
AcPuSe2
1.0
2.147 1.240 7.109
-2.147 1.240 7.109
0.000 -2.479 7.109
Ac Pu Se
1 1 2
Direct
0.000 0.000 0.000 Ac
0.500 0.500 0.500 Pu
0.243 0.243 0.243 Se
0.757 0.757 0.757 Se
```

Fermi-level density of states	2.2140	states/eV per atom

*c*
Material: AcPuSe2
Method: DFT, PBE
State: relaxed

Structure (POSCAR):
```
AcPuSe2
1.0
4.256 0.000 0.000
-2.128 3.686 0.000
0.000 0.000 14.505
Ac Pu Se
2 2 4
Direct
0.333 0.667 0.250 Ac
0.667 0.333 0.750 Ac
0.000 0.000 0.000 Pu
0.000 0.000 0.500 Pu
0.333 0.667 0.612 Se
0.333 0.667 0.888 Se
0.667 0.333 0.112 Se
0.667 0.333 0.388 Se
```

Fermi-level density of states	2.1667	states/eV per atom

*b* ends up most stable, edging out the next structure by 22 meV per atom.

*a*
Material: Ac2PuSe4
Method: DFT, PBE
State: relaxed

Structure (POSCAR):
```
Ac2PuSe4
1.0
7.041 -2.097 0.000
7.041 2.097 0.000
-4.618 0.000 7.428
Ac Pu Se
2 1 4
Direct
0.146 0.146 0.205 Ac
0.854 0.854 0.795 Ac
0.500 0.500 0.500 Pu
0.165 0.165 0.584 Se
0.441 0.441 0.126 Se
0.559 0.559 0.874 Se
0.835 0.835 0.416 Se
```

Fermi-level density of states	1.8687	states/eV per atom

*b*
Material: Ac2PuSe4
Method: DFT, PBE
State: relaxed

Structure (POSCAR):
```
Ac2PuSe4
1.0
2.141 -7.331 0.000
2.141 7.331 0.000
0.000 0.000 14.441
Ac Pu Se
4 2 8
Direct
0.133 0.867 0.574 Ac
0.133 0.867 0.926 Ac
0.867 0.133 0.074 Ac
0.867 0.133 0.426 Ac
0.376 0.624 0.750 Pu
0.624 0.376 0.250 Pu
0.017 0.983 0.750 Se
0.221 0.779 0.126 Se
0.221 0.779 0.374 Se
0.500 0.500 0.000 Se
0.500 0.500 0.500 Se
0.779 0.221 0.626 Se
0.779 0.221 0.874 Se
0.983 0.017 0.250 Se
```

Fermi-level density of states	2.3317	states/eV per atom

*a* ends up most stable, edging out the next structure by 19 meV per atom.

*a*
Material: AcPuTeSe
Method: DFT, PBE
State: relaxed

Structure (POSCAR):
```
AcPuTeSe
1.0
0.000 3.866 3.866
3.866 0.000 3.866
3.866 3.866 0.000
Ac Pu Te Se
1 1 1 1
Direct
0.000 0.000 0.000 Ac
0.500 0.500 0.500 Pu
0.250 0.250 0.250 Te
0.750 0.750 0.750 Se
```

Fermi-level density of states	1.6883	states/eV per atom

*b*
Material: AcPuTeSe
Method: DFT, PBE
State: relaxed

Structure (POSCAR):
```
AcPuTeSe
1.0
2.209 1.275 7.381
-2.209 1.275 7.381
0.000 -2.550 7.381
Ac Pu Te Se
1 1 1 1
Direct
0.000 0.000 0.000 Ac
0.514 0.514 0.514 Pu
0.764 0.764 0.764 Te
0.250 0.250 0.250 Se
```

Fermi-level density of states	2.3747	states/eV per atom

*b* ends up most stable, edging out the next structure by 224 meV per atom.

*a*
Material: AcSm2Pu
Method: DFT, PBE
State: relaxed

Structure (POSCAR):
```
AcSm2Pu
1.0
3.694 0.000 0.000
0.000 3.694 0.000
0.000 0.000 10.202
Ac Sm Pu
1 2 1
Direct
0.000 0.000 0.000 Ac
0.500 0.500 0.271 Sm
0.500 0.500 0.729 Sm
0.000 0.000 0.500 Pu
```

Fermi-level density of states	2.6435	states/eV per atom

*b*
Material: AcSm2Pu
Method: DFT, PBE
State: relaxed

Structure (POSCAR):
```
AcSm2Pu
1.0
1.849 1.068 11.853
-1.849 1.068 11.853
0.000 -2.135 11.853
Ac Sm Pu
1 2 1
Direct
0.000 0.000 0.000 Ac
0.577 0.577 0.577 Sm
0.755 0.755 0.755 Sm
0.166 0.166 0.166 Pu
```

Fermi-level density of states	2.7891	states/eV per atom

*c*
Material: AcSm2Pu
Method: DFT, PBE
State: relaxed

Structure (POSCAR):
```
AcSm2Pu
1.0
6.035 0.000 0.000
0.000 6.035 0.000
0.000 0.000 3.853
Ac Sm Pu
1 2 1
Direct
0.000 0.000 0.000 Ac
0.000 0.500 0.500 Sm
0.500 0.000 0.500 Sm
0.500 0.500 0.000 Pu
```

Fermi-level density of states	3.3957	states/eV per atom

*a* ends up most stable, edging out the next structure by 17 meV per atom.